No. 1
DFT (PBE) results for crystalline Pm3Ag2Ge3 at its relaxed geometry.

Values from the calculation:
The density of states at the Fermi level comes out at 8.58 states/eV per cell. The mass density comes out at 7.885 g/cm3. The value obtained for the formation energy is -5.15 eV/f.u. The crystal system is orthorhombic. The total DFT energy (no corrections) comes out at -4.8693 eV per atom. The calculation puts the total magnetization at 3.39 μB per cell.

abc: 4.4006 11.3930 14.5955
angles: 90.00 90.00 90.00
Closest atoms and distances in Å follow each position.
Space group Cmcm (No. 63)
Inequivalent atoms, fractional coordinates:
Pm (0.0000, 0.0749, 0.1166)  6 Ge 3.09-3.25, 4 Ag 3.25-3.40
Pm (0.0000, 0.3573, 0.2500)  4 Ge 3.02-3.16
Ag (0.0000, 0.2201, 0.5823)  4 Ge 2.67-2.82
Ge (0.0000, 0.3412, 0.7500)  2 Ag 2.81, 4 Pm 3.09
Ge (0.0000, 0.4046, 0.0467)  1 Ge 2.56, 3 Ag 2.67-2.82

No. 2
DFT (PBE) results for crystalline Pm2Ag3Ge4 at its relaxed geometry.

Values from the calculation:
The density of states at the Fermi level comes out at 14.41 states/eV per cell. The mass density comes out at 8.074 g/cm3. The value obtained for the formation energy is -3.23 eV/f.u. The crystal system is orthorhombic. The total DFT energy (no corrections) comes out at -4.4174 eV per atom. The calculation puts the total magnetization at 0.00 μB per cell.

abc: 5.9498 15.7621 7.9314
angles: 90.00 90.00 90.00
Closest atoms and distances in Å follow each position.
Space group Cmce (No. 64)
Inequivalent atoms, fractional coordinates:
Pm (0.0000, 0.1100, 0.0879)  8 Ge 3.18-3.48, 6 Ag 3.32-3.52
Ag (0.0000, 0.0000, 0.5000)  6 Ge 2.61-2.81
Ag (0.2500, 0.2199, 0.7500)  5 Ge 2.64-2.79
Ge (0.0000, 0.1776, 0.4661)  5 Ag 2.78-2.81
Ge (0.2500, 0.0527, 0.7500)  3 Ag 2.61-2.64

No. 3
DFT (PBE) results for crystalline Pm4Ag5Ge6 at its relaxed geometry.

Values from the calculation:
The density of states at the Fermi level comes out at 31.28 states/eV per cell. The mass density comes out at 7.726 g/cm3. The value obtained for the formation energy is -6.62 eV/f.u. The crystal system is orthorhombic. The total DFT energy (no corrections) comes out at -4.5054 eV per atom. The calculation puts the total magnetization at 0.00 μB per cell.

abc: 4.4160 19.5696 15.4709
angles: 90.00 90.00 90.00
Closest atoms and distances in Å follow each position.
Space group Cmc2_1 (No. 36)
Inequivalent atoms, fractional coordinates:
Pm (0.0000, 0.0249, 0.0000)  7 Ge 3.06-3.23, 3 Ag 3.29-3.34
Pm (0.0000, 0.0406, 0.2658)  6 Ge 3.15-3.18, 5 Ag 3.15-3.27
Pm (0.0000, 0.1617, 0.7970)  6 Ge 3.03-3.18
Pm (0.0000, 0.1754, 0.4490)  6 Ge 2.95-3.10
Ag (0.0000, 0.1592, 0.1278)  4 Ge 2.61-2.70
Ag (0.0000, 0.3085, 0.1193)  4 Ge 2.71-2.82, 2 Ag 2.87-2.92
Ag (0.0000, 0.3367, 0.7773)  4 Ge 2.62-2.82
Ag (0.0000, 0.3490, 0.4721)  4 Ge 2.63-2.80
Ag (0.0000, 0.4485, 0.1750)  4 Ge 2.59-2.76, 1 Ag 2.87
Ge (0.0000, 0.1023, 0.6156)  4 Ag 2.59-2.82
Ge (0.0000, 0.2234, 0.9801)  4 Ag 2.61-2.72
Ge (0.0000, 0.2352, 0.2679)  4 Ag 2.62-2.71
Ge (0.0000, 0.4201, 0.6290)  5 Ag 2.67-2.82
Ge (0.0000, 0.4304, 0.9059)  1 Ge 2.54, 1 Ag 2.71
Ge (0.0000, 0.4467, 0.3536)  1 Ge 2.54, 2 Ag 2.65-2.76

No. 4
DFT (PBE) results for crystalline Pm12Ag2Ge5 at its relaxed geometry.

Values from the calculation:
The density of states at the Fermi level comes out at 41.54 states/eV per cell. The mass density comes out at 6.638 g/cm3. The value obtained for the formation energy is -6.93 eV/f.u. The crystal system is monoclinic. The total DFT energy (no corrections) comes out at -4.8804 eV per atom. The calculation puts the total magnetization at 0.00 μB per cell.

abc: 16.8210 7.4202 9.4607
angles: 90.00 100.74 90.00
Closest atoms and distances in Å follow each position.
Space group C2/m (No. 12)
Inequivalent atoms, fractional coordinates:
Pm (0.0133, 0.0000, 0.2990)  2 Ge 3.10-3.13, 2 Ag 3.11
Pm (0.0259, 0.5000, 0.8160)  1 Ge 2.94, 2 Ag 3.01
Pm (0.1484, 0.2549, 0.5687)  4 Ge 2.99-3.10
Pm (0.1760, 0.2484, 0.1102)  3 Ge 2.98-3.19, 1 Ag 2.99
Ag (0.0000, 0.1823, 0.0000)  1 Ag 2.71, 4 Pm 2.99-3.01
Ge (0.0000, 0.5000, 0.5000)  6 Pm 2.94-3.06
Ge (0.1699, 0.0000, 0.8326)  7 Pm 3.10-3.19
Ge (0.2026, 0.0000, 0.3617)  7 Pm 2.98-3.13

No. 5
DFT (PBE) results for crystalline PmPr2Ag2Ge2 at its relaxed geometry.

Values from the calculation:
The density of states at the Fermi level comes out at 10.52 states/eV per cell. The mass density comes out at 7.439 g/cm3. The value obtained for the formation energy is -3.01 eV/f.u. The crystal system is trigonal. The total DFT energy (no corrections) comes out at -4.6084 eV per atom. The calculation puts the total magnetization at 0.00 μB per cell.

abc: 4.5988 4.5988 28.8071
angles: 90.00 90.00 120.00
Closest atoms and distances in Å follow each position.
Space group R-3m (No. 166, hexagonal axes)
Inequivalent atoms, fractional coordinates:
Pm (0.0000, 0.0000, 0.0000)  6 Ag 3.21, 6 Ge 3.33
Pr (0.0000, 0.0000, 0.1262)  3 Ge 3.12, 3 Ag 3.23
Ag (0.0000, 0.0000, 0.3957)  3 Ge 2.66
Ge (0.0000, 0.0000, 0.2638)  3 Ag 2.66

No. 6
DFT (PBE) results for crystalline PmPrAg2Ge2 at its relaxed geometry.

Values from the calculation:
The density of states at the Fermi level comes out at 1.05 states/eV per cell. The mass density comes out at 7.733 g/cm3. The value obtained for the formation energy is -3.56 eV/f.u. The crystal system is trigonal. The total DFT energy (no corrections) comes out at -4.6717 eV per atom. The calculation puts the total magnetization at 0.00 μB per cell.

abc: 4.5437 4.5437 7.7696
angles: 90.00 90.00 120.00
Closest atoms and distances in Å follow each position.
Space group P-3m1 (No. 164)
Inequivalent atoms, fractional coordinates:
Pm (0.0000, 0.0000, 0.0000)  6 Ag 3.23, 6 Ge 3.25
Pr (0.0000, 0.0000, 0.5000)  6 Ge 3.28, 6 Ag 3.30
Ag (0.3333, 0.6667, 0.2421)  3 Ge 2.62
Ge (0.3333, 0.6667, 0.7527)  3 Ag 2.62

No. 7
DFT (PBE) results for crystalline Pm2AgGe3Pt4 at its relaxed geometry.

Values from the calculation:
The density of states at the Fermi level comes out at 6.02 states/eV per cell. The mass density comes out at 11.770 g/cm3. The value obtained for the formation energy is -8.00 eV/f.u. The crystal system is tetragonal. The total DFT energy (no corrections) comes out at -5.8365 eV per atom. The calculation puts the total magnetization at 0.00 μB per cell.

abc: 4.3429 4.3429 10.4430
angles: 90.00 90.00 90.00
Closest atoms and distances in Å follow each position.
Space group P-4m2 (No. 115)
Inequivalent atoms, fractional coordinates:
Pm (0.0000, 0.5000, 0.2479)  8 Pt 3.26-3.41, 6 Ge 3.34-3.38, 2 Ag 3.38
Ag (0.5000, 0.5000, 0.0000)  4 Pt 2.64
Ge (0.0000, 0.0000, 0.0000)  4 Pt 2.64
Ge (0.0000, 0.5000, 0.6257)  5 Pt 2.40-2.54
Pt (0.0000, 0.0000, 0.5000)  4 Ge 2.54
Pt (0.0000, 0.5000, 0.8555)  3 Ge 2.40-2.64, 2 Ag 2.64
Pt (0.5000, 0.5000, 0.5000)  4 Ge 2.54

No. 8
DFT (PBE) results for crystalline PmAgGe2Pt5 at its relaxed geometry.

Values from the calculation:
The density of states at the Fermi level comes out at 2.85 states/eV per cell. The mass density comes out at 13.930 g/cm3. The value obtained for the formation energy is -5.00 eV/f.u. The crystal system is tetragonal. The total DFT energy (no corrections) comes out at -5.7827 eV per atom. The calculation puts the total magnetization at 0.00 μB per cell.

abc: 4.1822 4.1822 9.3614
angles: 90.00 90.00 90.00
Closest atoms and distances in Å follow each position.
Space group P4/mmm (No. 123)
Inequivalent atoms, fractional coordinates:
Pm (0.0000, 0.0000, 0.0000)  12 Pt 2.96-3.00
Ag (0.0000, 0.0000, 0.5000)  8 Ge 3.20, 8 Pt 3.28
Ge (0.5000, 0.5000, 0.3705)  1 Ge 2.42, 4 Pt 2.47
Pt (0.0000, 0.5000, 0.2297)  2 Ge 2.47
Pt (0.5000, 0.5000, 0.0000)  4 Pm 2.96, 8 Pt 3.00

No. 9
DFT (PBE) results for crystalline PmPuAgGe at its relaxed geometry.

Values from the calculation:
The density of states at the Fermi level comes out at 33.74 states/eV per cell. The mass density comes out at 9.634 g/cm3. The value obtained for the formation energy is -1.34 eV/f.u. The crystal system is cubic. The total DFT energy (no corrections) comes out at -6.9728 eV per atom. The calculation puts the total magnetization at 24.90 μB per cell.

abc: 7.3226 7.3226 7.3226
angles: 90.00 90.00 90.00
Closest atoms and distances in Å follow each position.
Space group F-43m (No. 216)
Inequivalent atoms, fractional coordinates:
Pm (0.0000, 0.0000, 0.0000)  4 Ag 3.17, 4 Ge 3.17
Pu (0.0000, 0.0000, 0.5000)  4 Ge 3.17, 4 Ag 3.17
Ag (0.2500, 0.2500, 0.2500)  4 Pu 3.17, 4 Pm 3.17
Ge (0.2500, 0.2500, 0.7500)  4 Pm 3.17, 4 Pu 3.17

No. 10
DFT (PBE) results for crystalline Pm2AgGe4Rh3 at its relaxed geometry.

Values from the calculation:
The density of states at the Fermi level comes out at 5.82 states/eV per cell. The mass density comes out at 8.748 g/cm3. The value obtained for the formation energy is -7.20 eV/f.u. The crystal system is tetragonal. The total DFT energy (no corrections) comes out at -6.0073 eV per atom. The calculation puts the total magnetization at 0.00 μB per cell.

abc: 4.3082 4.3082 10.1978
angles: 90.00 90.00 90.00
Closest atoms and distances in Å follow each position.
Space group P-4m2 (No. 115)
Inequivalent atoms, fractional coordinates:
Pm (0.0000, 0.5000, 0.2384)  8 Ge 3.25-3.29, 6 Rh 3.27-3.43, 2 Ag 3.43
Ag (0.0000, 0.0000, 0.5000)  4 Ge 2.59
Ge (0.0000, 0.0000, 0.0000)  4 Rh 2.49
Ge (0.0000, 0.5000, 0.6406)  3 Rh 2.42-2.59, 2 Ag 2.59
Ge (0.5000, 0.5000, 0.0000)  4 Rh 2.49
Rh (0.0000, 0.5000, 0.8782)  5 Ge 2.42-2.49
Rh (0.5000, 0.5000, 0.5000)  4 Ge 2.59